No. 1
## Cu2WSe4 (PBE)

Data for a geometry-optimized Cu2WSe4 structure.

a b c (Å): 6.083 5.606 5.606
angles (deg): 90.00 90.00 90.00
Fractional positions:
Se  0.235  0.759  0.241
Cu  0.000  0.000  0.500
Se  0.765  0.759  0.759
Se  0.765  0.241  0.241
Se  0.235  0.241  0.759
W  0.000  0.000  0.000
Cu  0.000  0.500  0.000

Properties
**Energy above the most stable polymorph in this dataset**: 2.5 meV per atom
**Uncorrected formation energy**: -0.34 eV/atom
**E**: -37.455 eV/f.u.
**Total moment**: 0.00 Bohr magnetons per cell



No. 2
## Cu3WSe4 (PBE)

Data for a geometry-optimized Cu3WSe4 structure.

a b c (Å): 5.672 5.672 5.672
angles (deg): 90.00 90.00 90.00
Fractional positions:
W  0.000  0.000  0.000
Cu  0.500  0.000  0.000
Cu  0.000  0.500  0.000
Se  0.751  0.249  0.751
Se  0.751  0.751  0.249
Se  0.249  0.249  0.249
Se  0.249  0.751  0.751
Cu  0.000  0.000  0.500

Properties
**Uncorrected formation energy**: -0.22 eV/atom
**E**: -40.967 eV/f.u.
**Total moment**: 0.64 Bohr magnetons per cell



No. 3
## CuW2Se (PBE)

Data for a geometry-optimized CuW2Se structure.

a b c (Å): 3.301 3.301 5.785
angles (deg): 90.00 90.00 90.00
Fractional positions:
W  0.500  0.500  0.255
W  0.000  0.000  0.027
Se  0.500  0.500  0.720
Cu  0.000  0.000  0.498

Properties
**Uncorrected formation energy**: 0.38 eV/atom
**E**: -31.977 eV/f.u.
**Total moment**: 0.00 Bohr magnetons per cell



No. 4
## CuW2Se (PBE)

Data for a geometry-optimized CuW2Se structure.

a b c (Å): 4.902 4.902 4.902
angles (deg): 133.31 133.31 68.16
Fractional positions:
W  0.000  0.000  0.000
Se  0.750  0.250  0.500
Cu  0.500  0.500  0.000
W  0.250  0.750  0.500

Properties
**Uncorrected formation energy**: 0.70 eV/atom
**E**: -30.688 eV/f.u.
**Total moment**: 0.00 Bohr magnetons per cell



No. 5
## CuW2Se (PBE)

Data for a geometry-optimized CuW2Se structure.

a b c (Å): 2.803 2.803 8.909
angles (deg): 90.00 90.00 110.03
Fractional positions:
W  0.000  0.000  0.010
Cu  0.000  0.000  0.481
W  0.500  0.500  0.250
Se  0.500  0.500  0.759

Properties
**Uncorrected formation energy**: 0.44 eV/atom
**E**: -31.722 eV/f.u.
**Total moment**: 0.00 Bohr magnetons per cell



No. 6
## CuW2Se (PBE)

Data for a geometry-optimized CuW2Se structure.

a b c (Å): 5.125 5.125 5.125
angles (deg): 144.01 129.07 63.93
Fractional positions:
W  0.014  0.014  0.000
W  0.749  0.249  0.500
Se  0.248  0.748  0.500
Cu  0.489  0.489  0.000

Properties
**Uncorrected formation energy**: 0.55 eV/atom
**E**: -31.284 eV/f.u.
**Total moment**: 0.00 Bohr magnetons per cell



Copy entry 4 word for word.
## CuW2Se (PBE)

Data for a geometry-optimized CuW2Se structure.

a b c (Å): 4.902 4.902 4.902
angles (deg): 133.31 133.31 68.16
Fractional positions:
W  0.000  0.000  0.000
Se  0.750  0.250  0.500
Cu  0.500  0.500  0.000
W  0.250  0.750  0.500

Properties
**Uncorrected formation energy**: 0.70 eV/atom
**E**: -30.688 eV/f.u.
**Total moment**: 0.00 Bohr magnetons per cell



Which formula does entry 3 have?
CuW2Se



Among the records above, which one has the highest uncorrected formation energy?
number 4



Please write out number 4 again, unchanged.
## CuW2Se (PBE)

Data for a geometry-optimized CuW2Se structure.

a b c (Å): 4.902 4.902 4.902
angles (deg): 133.31 133.31 68.16
Fractional positions:
W  0.000  0.000  0.000
Se  0.750  0.250  0.500
Cu  0.500  0.500  0.000
W  0.250  0.750  0.500

Properties
**Uncorrected formation energy**: 0.70 eV/atom
**E**: -30.688 eV/f.u.
**Total moment**: 0.00 Bohr magnetons per cell